Entry from OQMD: a relaxed structure of Be2PPt2 (PBE).

CIF file:
```
data_Be2PPt2
_chemical_formula_sum 'Be4 P2 Pt4'
_cell_length_a 6.827
_cell_length_b 6.827
_cell_length_c 2.718
_cell_angle_alpha 90.00
_cell_angle_beta 90.00
_cell_angle_gamma 90.00
_symmetry_space_group_name_H-M 'P 4/m b m'
_symmetry_Int_Tables_number 127
_symmetry_space_group_name_Hall '-P 4 2ab'
loop_
_atom_site_label
_atom_site_fract_x
_atom_site_fract_y
_atom_site_fract_z
Be1 0.124 0.376 0.000
P1 0.000 0.000 0.500
Pt1 0.168 0.668 0.500
```

Values from the calculation:
- DFT total energy (eV per atom) = -5.384

Entry from OQMD: a relaxed structure of BePPt (PBE).

CIF file:
```
data_BePPt
_chemical_formula_sum 'Be3 P3 Pt3'
_cell_length_a 6.3069
_cell_length_b 6.3069
_cell_length_c 3.4848
_cell_angle_alpha 90.00
_cell_angle_beta 90.00
_cell_angle_gamma 120.00
_symmetry_space_group_name_H-M 'P -6 2 m'
_symmetry_Int_Tables_number 189
_symmetry_space_group_name_Hall 'P -6 -2'
loop_
_atom_site_label
_atom_site_fract_x
_atom_site_fract_y
_atom_site_fract_z
Be1 0.0000 0.2631 0.0000
P1 0.0000 0.0000 0.5000
P2 0.3333 0.6667 0.0000
Pt1 0.0000 0.6370 0.5000
```

Values from the calculation:
- DFT total energy (eV per atom) = -5.043

Entry from OQMD: a relaxed structure of Sr2BeReP6 (PBE).

CIF file:
```
data_Sr2BeReP6
_chemical_formula_sum 'Sr4 Be2 Re2 P12'
_cell_length_a 6.9028
_cell_length_b 6.9028
_cell_length_c 10.6974
_cell_angle_alpha 90.00
_cell_angle_beta 90.00
_cell_angle_gamma 120.00
_symmetry_space_group_name_H-M 'P -3 1 c'
_symmetry_Int_Tables_number 163
_symmetry_space_group_name_Hall '-P 3 2c'
loop_
_atom_site_label
_atom_site_fract_x
_atom_site_fract_y
_atom_site_fract_z
Sr1 0.3333 0.6667 0.0701
Be1 0.3333 0.6667 0.7500
Re1 0.0000 0.0000 0.2500
P1 0.1239 0.3419 0.8542
```

Values from the calculation:
- DFT total energy (eV per atom) = -5.446

Entry from OQMD: a relaxed structure of BeZnSn2P4 (PBE).

CIF file:
```
data_BeZnSn2P4
_chemical_formula_sum 'Be2 Zn2 Sn4 P8'
_cell_length_a 5.549
_cell_length_b 5.549
_cell_length_c 11.175
_cell_angle_alpha 90.00
_cell_angle_beta 90.00
_cell_angle_gamma 90.00
_symmetry_space_group_name_H-M 'I -4'
_symmetry_Int_Tables_number 82
loop_
_symmetry_equiv_pos_as_xyz
'x,y,z'
'y,-x,-z'
'-x,-y,z'
'-y,x,-z'
'x+1/2,y+1/2,z+1/2'
'y+1/2,-x+1/2,-z+1/2'
'-x+1/2,-y+1/2,z+1/2'
'-y+1/2,x+1/2,-z+1/2'
loop_
_atom_site_label
_atom_site_fract_x
_atom_site_fract_y
_atom_site_fract_z
Be1 0.000 0.000 0.000
Zn1 0.000 0.500 0.750
Sn1 0.000 0.000 0.500
Sn2 0.000 0.500 0.250
P1 0.212 0.766 0.881
```

Values from the calculation:
- DFT total energy (eV per atom) = -4.533

Entry from OQMD: a relaxed structure of Y2TaBeP6 (PBE).

CIF file:
```
data_Y2TaBeP6
_chemical_formula_sum 'Y12 Ta6 Be6 P36'
_cell_length_a 5.8091
_cell_length_b 5.8091
_cell_length_c 37.2548
_cell_angle_alpha 90.00
_cell_angle_beta 90.00
_cell_angle_gamma 120.00
_symmetry_space_group_name_H-M 'R -3 m'
_symmetry_Int_Tables_number 166
_symmetry_space_group_name_Hall '-R 3 2"'
loop_
_atom_site_label
_atom_site_fract_x
_atom_site_fract_y
_atom_site_fract_z
Y1 0.0000 0.0000 0.1325
Y2 0.0000 0.0000 0.3090
Ta1 0.0000 0.0000 0.4292
Be1 0.0000 0.0000 0.0000
Be2 0.0000 0.0000 0.5000
P1 0.0069 0.5035 0.2917
P2 0.0623 0.5312 0.8684
```

Values from the calculation:
- DFT total energy (eV per atom) = -6.575

Entry from OQMD: a relaxed structure of Y2TaBeP6 (PBE).

CIF file:
```
data_Y2TaBeP6
_chemical_formula_sum 'Y4 Ta2 Be2 P12'
_cell_length_a 5.952
_cell_length_b 5.952
_cell_length_c 10.704
_cell_angle_alpha 90.00
_cell_angle_beta 90.00
_cell_angle_gamma 90.00
_symmetry_space_group_name_H-M 'I 4/m'
_symmetry_Int_Tables_number 87
_symmetry_space_group_name_Hall '-I 4'
loop_
_atom_site_label
_atom_site_fract_x
_atom_site_fract_y
_atom_site_fract_z
Y1 0.000 0.500 0.250
Ta1 0.000 0.000 0.000
Be1 0.000 0.000 0.500
P1 0.000 0.000 0.245
P2 0.113 0.646 0.500
```

Values from the calculation:
- DFT total energy (eV per atom) = -6.672

Entry from OQMD: a relaxed structure of Tb2BeP (PBE).

CIF file:
```
data_Tb2BeP
_chemical_formula_sum 'Tb4 Be2 P2'
_cell_length_a 9.487
_cell_length_b 3.579
_cell_length_c 4.757
_cell_angle_alpha 90.00
_cell_angle_beta 90.00
_cell_angle_gamma 90.00
_symmetry_space_group_name_H-M 'P m m a'
_symmetry_Int_Tables_number 51
loop_
_symmetry_equiv_pos_as_xyz
'x,y,z'
'-x,-y,-z'
'-x+1/2,-y,z'
'x+1/2,y,-z'
'x+1/2,-y,-z'
'-x+1/2,y,z'
'-x,y,-z'
'x,-y,z'
loop_
_atom_site_label
_atom_site_fract_x
_atom_site_fract_y
_atom_site_fract_z
Tb1 0.000 0.000 0.000
Tb2 0.250 0.000 0.496
Be1 0.000 0.500 0.500
P1 0.250 0.500 0.992
```

Values from the calculation:
- DFT total energy (eV per atom) = -5.048

Entry from OQMD: a relaxed structure of Zr2BeP (PBE).

CIF file:
```
data_Zr2BeP
_chemical_formula_sum 'Zr4 Be2 P2'
_cell_length_a 5.190
_cell_length_b 3.565
_cell_length_c 7.404
_cell_angle_alpha 90.00
_cell_angle_beta 110.13
_cell_angle_gamma 90.00
_symmetry_space_group_name_H-M 'P 1 21/m 1'
_symmetry_Int_Tables_number 11
loop_
_symmetry_equiv_pos_as_xyz
'x,y,z'
'-x,-y,-z'
'-x,y+1/2,-z'
'x,-y+1/2,z'
loop_
_atom_site_label
_atom_site_fract_x
_atom_site_fract_y
_atom_site_fract_z
Zr1 0.218 0.250 0.427
Zr2 0.280 0.750 0.073
Be1 0.358 0.750 0.716
P1 0.153 0.250 0.784
```

Values from the calculation:
- DFT total energy (eV per atom) = -7.513